## TaReSe2N (PBE)

Data for a relaxed TaReSe2N crystal.

Cell lengths 5.0533, 5.0533, 3.6847 Å; angles 90.00, 90.00, 90.00 degrees
Space group P4/mmm (No. 123)
Symmetry-distinct sites (fractional):
Ta1 0.0000 0.0000 0.0000 x1
Re1 0.5000 0.5000 0.5000 x1
Se1 0.0000 0.5000 0.5000 x2
N1 0.5000 0.5000 0.0000 x1

Values from the calculation:
D(E_F) = 6.0 states/eV/cell
energy above the lowest structure with this stoichiometry = 0 meV/atom
raw formation energy = 0.7336 eV per atom

***

## SrLi2Sm2Pb2 (PBE)

Data for a relaxed SrLi2Sm2Pb2 crystal.

Cell lengths 4.9559, 4.9559, 28.9415 Å; angles 90.00, 90.00, 120.00 degrees
Space group R-3m (No. 166, hexagonal axes)
Symmetry-distinct sites (fractional):
Sr1 0.0000 0.0000 0.0000 x3
Li1 0.0000 0.0000 0.4154 x6
Sm1 0.0000 0.0000 0.1310 x6
Pb1 0.0000 0.0000 0.2550 x6

Values from the calculation:
D(E_F) = 9.6 states/eV/cell
formation energy from the elements = -0.37 eV per atom

***

## Ti3V2Zn (PBE)

Data for a relaxed Ti3V2Zn crystal.

Cell lengths 3.1309, 3.1309, 9.4103 Å; angles 90.00, 90.00, 90.00 degrees
Space group P4/mmm (No. 123)
Symmetry-distinct sites (fractional):
Ti1 0.0000 0.0000 0.0000 x1
Ti2 0.0000 0.0000 0.3237 x2
V1 0.5000 0.5000 0.1638 x2
Zn1 0.5000 0.5000 0.5000 x1

Values from the calculation:
D(E_F) = 10.0 states/eV/cell
formation energy from the elements = -0.01 eV per atom

***

## Tb2SmThP4 (PBE)

Data for a relaxed Tb2SmThP4 crystal.

Cell lengths 7.0508, 4.0839, 7.0629 Å; angles 90.00, 109.47, 90.00 degrees
Space group P2/m (No. 10)
Symmetry-distinct sites (fractional):
Tb1 0.0000 0.0000 0.0000 x1
Tb2 0.0000 0.5000 0.5000 x1
Sm1 0.5000 0.0000 0.5000 x1
Th1 0.5000 0.5000 0.0000 x1
P1 0.2449 0.0000 0.7483 x2
P2 0.2456 0.5000 0.2479 x2

Values from the calculation:
D(E_F) = 1.5 states/eV/cell
formation energy from the elements = -1.61 eV per atom

***

## LiSeCl2 (PBE)

Data for a relaxed LiSeCl2 crystal.

Cell lengths 3.6157, 3.6157, 22.9662 Å; angles 90.00, 90.00, 120.00 degrees
Space group R-3m (No. 166, hexagonal axes)
Symmetry-distinct sites (fractional):
Li1 0.0000 0.0000 0.0000 x3
Se1 0.0000 0.0000 0.5000 x3
Cl1 0.0000 0.0000 0.3943 x6

Values from the calculation:
D(E_F) = 6.4 states/eV/cell
energy above the lowest structure with this stoichiometry = 0 meV/atom
raw formation energy = -0.8003 eV per atom

***

## SrMg3Re (PBE)

Data for a relaxed SrMg3Re crystal.

Cell lengths 5.1709, 5.1709, 5.1709 Å; angles 90.00, 90.00, 90.00 degrees
Space group Pm-3m (No. 221)
Symmetry-distinct sites (fractional):
Sr1 0.0000 0.0000 0.0000 x1
Mg1 0.0000 0.5000 0.5000 x3
Re1 0.5000 0.5000 0.5000 x1

Values from the calculation:
D(E_F) = 3.6 states/eV/cell
formation energy from the elements = 0.50 eV per atom
energy above the lowest structure with this stoichiometry = 0 meV/atom

***

## NaAl2Cu (PBE)

Data for a relaxed NaAl2Cu crystal.

Cell lengths 6.4037, 6.4037, 6.4037 Å; angles 90.00, 90.00, 90.00 degrees
Space group Fm-3m (No. 225)
Symmetry-distinct sites (fractional):
Na1 0.0000 0.0000 0.0000 x4
Al1 0.2500 0.2500 0.2500 x8
Cu1 0.0000 0.0000 0.5000 x4

Values from the calculation:
D(E_F) = 4.0 states/eV/cell
formation energy from the elements = 0.18 eV per atom
energy above the lowest structure with this stoichiometry = 194 meV/atom

***

## ZnCdNO2 (PBE)

Data for a relaxed ZnCdNO2 crystal.

Cell lengths 4.0111, 4.0111, 3.8080 Å; angles 90.00, 90.00, 90.00 degrees
Space group P4/mmm (No. 123)
Symmetry-distinct sites (fractional):
Zn1 0.0000 0.0000 0.0000 x1
Cd1 0.5000 0.5000 0.5000 x1
N1 0.0000 0.0000 0.5000 x1
O1 0.0000 0.5000 0.0000 x2

Values from the calculation:
D(E_F) = 1.7 states/eV/cell
raw formation energy = 0.3389 eV per atom

***

## K3SnPd3O8 (PBE)

Data for a relaxed K3SnPd3O8 crystal.

Cell lengths 12.2463, 6.2005, 7.0192 Å; angles 90.00, 119.21, 90.00 degrees
Space group C2/m (No. 12)
Symmetry-distinct sites (fractional):
K1 0.0000 0.0000 0.0000 x2
K2 0.2500 0.2500 0.0000 x4
Sn1 0.0000 0.0000 0.5000 x2
Pd1 0.0000 0.5000 0.5000 x2
Pd2 0.2500 0.2500 0.5000 x4
O1 0.0108 0.2534 0.7037 x8
O2 0.1950 0.5000 0.6297 x4
O3 0.2031 0.0000 0.6423 x4

Values from the calculation:
D(E_F) = 12.1 states/eV/cell
raw formation energy = -0.9775 eV per atom

***

## Tc2PtN (PBE)

Data for a relaxed Tc2PtN crystal.

Cell lengths 2.7766, 2.7766, 22.4759 Å; angles 90.00, 90.00, 120.00 degrees
Space group R-3m (No. 166, hexagonal axes)
Symmetry-distinct sites (fractional):
Tc1 0.0000 0.0000 0.2301 x6
Pt1 0.0000 0.0000 0.0000 x3
N1 0.0000 0.0000 0.5000 x3

Values from the calculation:
D(E_F) = 11.5 states/eV/cell
raw formation energy = 0.1088 eV per atom

***

## Pm2TaN (PBE)

Data for a relaxed Pm2TaN crystal.

Cell lengths 3.3383, 3.3383, 27.3736 Å; angles 90.00, 90.00, 120.00 degrees
Space group R-3m (No. 166, hexagonal axes)
Symmetry-distinct sites (fractional):
Pm1 0.0000 0.0000 0.1134 x6
Ta1 0.0000 0.0000 0.0000 x3
N1 0.0000 0.0000 0.5000 x3

Values from the calculation:
D(E_F) = 15.8 states/eV/cell
raw formation energy = -0.0400 eV per atom

***

## Pr2YIn2Rh5 (PBE)

Data for a relaxed Pr2YIn2Rh5 crystal.

Cell lengths 10.5225, 10.5225, 3.7509 Å; angles 90.00, 90.00, 90.00 degrees
Space group P4/mbm (No. 127)
Symmetry-distinct sites (fractional):
Pr1 0.1714 0.3286 0.0000 x4
Y1 0.0000 0.0000 0.0000 x2
In1 0.1261 0.6261 0.0000 x4
Rh1 0.0000 0.5000 0.5000 x2
Rh2 0.0635 0.7962 0.5000 x8

Values from the calculation:
D(E_F) = 11.1 states/eV/cell
formation energy from the elements = -0.50 eV per atom

***

## Th5NiSn2 (PBE)

Data for a relaxed Th5NiSn2 crystal.

Cell lengths 8.8991, 10.1491, 6.7052 Å; angles 90.00, 131.45, 90.00 degrees
Space group Cm (No. 8)
Symmetry-distinct sites (fractional):
Th1 0.0000 0.0000 0.0000 x2
Th2 0.0219 0.5000 0.5256 x2
Th3 0.2574 0.2271 0.9943 x4
Th4 0.4204 0.5000 0.4232 x2
Ni1 0.3388 0.0000 0.7940 x2
Sn1 0.2467 0.2330 0.4996 x4

Values from the calculation:
D(E_F) = 18.4 states/eV/cell
formation energy from the elements = -0.24 eV per atom

***

## NaBe2Bi (PBE)

Data for a relaxed NaBe2Bi crystal.

Cell lengths 6.3567, 6.3567, 11.9267 Å; angles 90.00, 90.00, 90.00 degrees
Space group I-42d (No. 122)
Symmetry-distinct sites (fractional):
Na1 0.0000 0.0000 0.0000 x4
Be1 0.1781 0.2500 0.6250 x8
Bi1 0.0000 0.0000 0.5000 x4

Values from the calculation:
D(E_F) = 0.1 states/eV/cell
formation energy from the elements = 0.92 eV per atom

***

## PmReB4 (PBE)

Data for a relaxed PmReB4 crystal.

Cell lengths 7.4456, 9.5551, 3.6592 Å; angles 90.00, 90.00, 90.00 degrees
Space group Cmmm (No. 65)
Symmetry-distinct sites (fractional):
Pm1 0.0000 0.1990 0.0000 x4
Re1 0.1726 0.5000 0.0000 x4
B1 0.0000 0.4094 0.5000 x4
B2 0.1280 0.0000 0.5000 x4
B3 0.2217 0.3443 0.5000 x8

Values from the calculation:
D(E_F) = 7.7 states/eV/cell
formation energy from the elements = -0.52 eV per atom
energy above the lowest structure with this stoichiometry = 0 meV/atom

***

## MgBPd3 (PBE)

Data for a relaxed MgBPd3 crystal.

Cell lengths 5.1454, 5.1454, 20.5137 Å; angles 90.00, 90.00, 120.00 degrees
Space group R-3 (No. 148, hexagonal axes)
Symmetry-distinct sites (fractional):
Mg1 0.0000 0.0000 0.1684 x6
B1 0.0000 0.0000 0.3336 x6
Pd1 0.0022 0.6726 0.9398 x18

Values from the calculation:
D(E_F) = 11.6 states/eV/cell
formation energy from the elements = -0.27 eV per atom
energy above the lowest structure with this stoichiometry = 220 meV/atom

***

## TaHgTe4 (PBE)

Data for a relaxed TaHgTe4 crystal.

Cell lengths 8.8595, 8.8595, 8.8595 Å; angles 90.00, 90.00, 90.00 degrees
Space group F-43m (No. 216)
Symmetry-distinct sites (fractional):
Ta1 0.0000 0.0000 0.0000 x4
Hg1 0.2500 0.2500 0.2500 x4
Te1 0.1258 0.1258 0.6258 x16

Values from the calculation:
D(E_F) = 23.4 states/eV/cell
energy above the lowest structure with this stoichiometry = 1154 meV/atom
raw formation energy = 0.9844 eV per atom

***

## Pu2Al5Zn2Pd (PBE)

Data for a relaxed Pu2Al5Zn2Pd crystal.

Cell lengths 9.7138, 9.7138, 3.9071 Å; angles 90.00, 90.00, 90.00 degrees
Space group P4/mbm (No. 127)
Symmetry-distinct sites (fractional):
Pu1 0.1780 0.3220 0.0000 x4
Al1 0.0000 0.5000 0.5000 x2
Al2 0.0545 0.8059 0.5000 x8
Zn1 0.1194 0.6194 0.0000 x4
Pd1 0.0000 0.0000 0.0000 x2

Values from the calculation:
D(E_F) = 31.3 states/eV/cell
formation energy from the elements = -0.29 eV per atom

***

## NaBr (PBE)

Data for a relaxed NaBr crystal.

Cell lengths 11.8803, 11.8803, 4.9006 Å; angles 90.00, 90.00, 90.00 degrees
Space group I4/m (No. 87)
Symmetry-distinct sites (fractional):
Na1 0.1265 0.7058 0.0000 x8
Br1 0.1116 0.2888 0.0000 x8

Values from the calculation:
D(E_F) = 0.0 states/eV/cell
raw formation energy = -1.4837 eV per atom

***

## NaAsI5 (PBE)

Data for a relaxed NaAsI5 crystal.

Cell lengths 13.2507, 8.6858, 11.9047 Å; angles 90.00, 116.46, 90.00 degrees
Space group C2/c (No. 15)
Symmetry-distinct sites (fractional):
Na1 0.0000 0.1244 0.2500 x4
As1 0.0000 0.5000 0.0000 x4
I1 0.0000 0.4875 0.2500 x4
I2 0.0358 0.1727 0.0066 x8
I3 0.2366 0.4824 0.6173 x8

Values from the calculation:
D(E_F) = 20.0 states/eV/cell
raw formation energy = -0.2829 eV per atom